# ZrGe2Mo2, relaxed, DFT GGA-PBE
# - Energy above the lowest structure with this stoichiometry: 0.0000 eV per atom
# - E_tot: -8.1239 eV per atom
data_ZrGe2Mo2
_chemical_formula_sum 'Zr2 Ge4 Mo4'
_symmetry_space_group_name_H-M 'P 4/m b m'
_symmetry_Int_Tables_number 127
_symmetry_space_group_name_Hall '-P 4 2ab'
_cell_length_a 7.165
_cell_length_b 7.165
_cell_length_c 3.257
_cell_angle_alpha 90.00
_cell_angle_beta 90.00
_cell_angle_gamma 90.00
loop_
_atom_site_label
_atom_site_fract_x
_atom_site_fract_y
_atom_site_fract_z
Zr1 0.000 0.000 0.000
Ge1 0.140 0.360 0.000
Mo1 0.151 0.651 0.500